Material: ErSc3Pd2
Method: DFT, PBE-GGA
State: optimized geometry

Cell lengths 4.6302, 6.7222, 8.3249 Å; angles 90.00, 90.00, 90.00 degrees
Fractional coordinates of all 12 atoms:
Er 0.5000 0.5176 0.5722
Er 0.5000 0.0176 0.4278
Sc 0.0000 0.4808 0.9286
Sc 0.0000 0.9808 0.0714
Sc 0.5000 0.6461 0.1668
Sc 0.5000 0.1461 0.8332
Sc 0.0000 0.3560 0.3179
Sc 0.0000 0.8560 0.6821
Pd 0.5000 0.7453 0.8504
Pd 0.5000 0.2453 0.1496
Pd 0.0000 0.2543 0.6545
Pd 0.0000 0.7543 0.3455

Summary:
total magnetization	0.00	μB per formula unit
E_form	-3.87	eV/f.u.
density of states at the Fermi level	7.25	states/eV/f.u.
ΔE to the lowest computed polymorph	0.00	eV per formula unit
final energy	-6.303	eV/atom
SG	Pmc2_1 (26)